A:
# NiPd8Au2 | Alexandria | PBE | optimized geometry
data_NiPd8Au2
_cell_length_a 14.1473
_cell_length_b 5.1988
_cell_length_c 4.9153
_cell_angle_alpha 90.00
_cell_angle_beta 93.97
_cell_angle_gamma 90.00
_symmetry_space_group_name_H-M 'C 1 2/m 1'
_symmetry_Int_Tables_number 12
loop_
_symmetry_equiv_pos_as_xyz
'x,y,z'
'-x,-y,-z'
'-x,y,-z'
'x,-y,z'
'x+1/2,y+1/2,z'
'-x+1/2,-y+1/2,-z'
'-x+1/2,y+1/2,-z'
'x+1/2,-y+1/2,z'
loop_
_atom_site_label
_atom_site_type_symbol
_atom_site_fract_x
_atom_site_fract_y
_atom_site_fract_z
Ni1 Ni 0.0000 0.0000 0.0000
Pd1 Pd 0.0833 0.5000 0.8906
Pd2 Pd 0.0849 0.2493 0.3865
Pd3 Pd 0.2422 0.5000 0.6149
Au1 Au 0.1753 0.0000 0.8721
# DOS at the Fermi energy   37.9 states/eV per cell

***

B:
# NiPd8Au2 | Alexandria | PBE | optimized geometry
data_NiPd8Au2
_cell_length_a 4.8654
_cell_length_b 4.8678
_cell_length_c 7.3930
_cell_angle_alpha 83.41
_cell_angle_beta 89.75
_cell_angle_gamma 80.45
_symmetry_space_group_name_H-M 'P -1'
_symmetry_Int_Tables_number 2
loop_
_symmetry_equiv_pos_as_xyz
'x,y,z'
'-x,-y,-z'
loop_
_atom_site_label
_atom_site_type_symbol
_atom_site_fract_x
_atom_site_fract_y
_atom_site_fract_z
Ni1 Ni 0.0000 0.0000 0.0000
Pd1 Pd 0.0922 0.4611 0.1759
Pd2 Pd 0.1811 0.9104 0.3553
Pd3 Pd 0.2694 0.3647 0.5430
Pd4 Pd 0.4518 0.2662 0.9109
Au1 Au 0.3570 0.8163 0.7293
# DOS at the Fermi energy   19.8 states/eV per cell

***

Verdict on stability: A comes out at the bottom.